2
Lattice="2.905 0.000 0.000 -1.453 2.516 0.000 0.000 0.000 5.261" Properties=species:S:1:pos:R:3 comment="PuZn (PBE-GGA, optimized geometry)" e_form_ev_per_atom=0.041 sg="P-6m2, No. 187" m_tot_mub_per_cell=4.4 pbc="T T T"
Pu 0.000 0.000 0.000
Zn 1.453 0.839 2.630